{"formula": "YP2ICl", "functional": "PBE", "state": "optimized geometry", "lattice_angstrom": [[5.1554, 0.0000, 0.0000], [0.0000, 5.1554, 0.0000], [0.0000, 0.0000, 5.1139]], "species": ["Y", "P", "P", "I", "Cl"], "fractional_positions": [[0.0000, 0.0000, 0.0000], [0.0000, 0.5000, 0.5000], [0.5000, 0.0000, 0.5000], [0.5000, 0.5000, 0.5000], [0.5000, 0.5000, 0.0000]], "raw_formation_energy_ev_per_atom": 0.47, "crystal_system": "tetragonal", "spacegroup": "No. 123", "magnetic_moment_mub_per_fu": 0.0, "dft_energy_ev_per_atom": -3.661, "de_polymorph_ev_per_atom": 0.489}

=====

{"formula": "YP2ICl", "functional": "PBE", "state": "optimized geometry", "lattice_angstrom": [[5.5301, 0.0000, 0.0000], [0.0000, 5.5301, 0.0000], [0.0000, 0.0000, 5.1329]], "species": ["Y", "P", "P", "I", "Cl"], "fractional_positions": [[0.0000, 0.0000, 0.0000], [0.0000, 0.5000, 0.0000], [0.5000, 0.0000, 0.0000], [0.5000, 0.5000, 0.5000], [0.0000, 0.0000, 0.5000]], "raw_formation_energy_ev_per_atom": -0.01, "crystal_system": "tetragonal", "spacegroup": "No. 123", "magnetic_moment_mub_per_fu": 1.3, "dft_energy_ev_per_atom": -4.150, "de_polymorph_ev_per_atom": 0.000}

=====

{"formula": "ZnPICl2", "functional": "PBE", "state": "optimized geometry", "lattice_angstrom": [[4.5235, 0.0000, 0.0000], [0.0000, 4.5235, 0.0000], [0.0000, 0.0000, 7.7140]], "species": ["Zn", "P", "I", "Cl", "Cl"], "fractional_positions": [[0.0000, 0.0000, 0.0000], [0.0000, 0.0000, 0.5000], [0.5000, 0.5000, 0.5000], [0.0000, 0.5000, 0.0000], [0.5000, 0.0000, 0.0000]], "raw_formation_energy_ev_per_atom": 0.05, "crystal_system": "tetragonal", "spacegroup": "No. 123", "magnetic_moment_mub_per_fu": 1.3, "dft_energy_ev_per_atom": -2.333, "de_polymorph_ev_per_atom": 0.000}

=====

{"formula": "ZnP2ICl", "functional": "PBE", "state": "optimized geometry", "lattice_angstrom": [[4.8718, 0.0000, 0.0000], [0.0000, 4.8718, 0.0000], [0.0000, 0.0000, 4.7314]], "species": ["Zn", "P", "P", "I", "Cl"], "fractional_positions": [[0.0000, 0.0000, 0.0000], [0.0000, 0.5000, 0.0000], [0.5000, 0.0000, 0.0000], [0.5000, 0.5000, 0.5000], [0.0000, 0.0000, 0.5000]], "raw_formation_energy_ev_per_atom": 0.58, "crystal_system": "tetragonal", "spacegroup": "No. 123", "magnetic_moment_mub_per_fu": 0.7, "dft_energy_ev_per_atom": -2.517, "de_polymorph_ev_per_atom": 0.000}